## BaTmMg2In4 (PBE)

Data for a relaxed structure of BaTmMg2In4.

Properties
Energy relative to the elements   -0.2948 eV per atom
Total magnetization   0.00 Bohr magnetons per cell
D(E_F)   0.585 states/eV per atom
E_tot   -22.895 eV/cell

Lattice parameters (Å, degrees): 11.235 11.235 11.235 25.60 25.60 25.60
Positions (direct):
Ba: 0.000 0.000 0.000
Tm: 0.500 0.500 0.500
Mg: 0.232 0.232 0.232
Mg: 0.768 0.768 0.768
In: 0.125 0.125 0.125
In: 0.401 0.401 0.401
In: 0.599 0.599 0.599
In: 0.875 0.875 0.875